[1]
A relaxed structure of Sc2TcNiH. Source: the Alexandria database, functional PBE-GGA.

Computed properties:
Symmetry = No. 123
E = -33.95 eV/cell
Density of states at the Fermi level = 2.21 states/eV per cell
V = 13.99 Å³ per atom

CIF file:
```
data_Sc2TcNiH
_space_group_name_H-M_alt 'P 1'
_space_group_IT_number 1
_space_group_name_Hall 'P 1'
_cell_length_a 4.5251
_cell_length_b 4.5251
_cell_length_c 3.4150
_cell_angle_alpha 90.00
_cell_angle_beta 90.00
_cell_angle_gamma 90.00
loop_
_atom_site_label
_atom_site_type_symbol
_atom_site_fract_x
_atom_site_fract_y
_atom_site_fract_z
Sc1 Sc 0.0000 0.5000 0.0000
Sc2 Sc 0.5000 0.0000 0.0000
Tc1 Tc 0.0000 0.0000 0.5000
Ni1 Ni 0.5000 0.5000 0.5000
H1 H 0.0000 0.0000 0.0000
```

---

[2]
A relaxed structure of Sc2TiNiH. Source: the Alexandria database, functional PBE-GGA.

Computed properties:
Symmetry = No. 123
E = -30.58 eV/cell
Density of states at the Fermi level = 4.95 states/eV per cell
V = 14.99 Å³ per atom

CIF file:
```
data_Sc2TiNiH
_space_group_name_H-M_alt 'P 1'
_space_group_IT_number 1
_space_group_name_Hall 'P 1'
_cell_length_a 4.5113
_cell_length_b 4.5113
_cell_length_c 3.6824
_cell_angle_alpha 90.00
_cell_angle_beta 90.00
_cell_angle_gamma 90.00
loop_
_atom_site_label
_atom_site_type_symbol
_atom_site_fract_x
_atom_site_fract_y
_atom_site_fract_z
Sc1 Sc 0.0000 0.5000 0.0000
Sc2 Sc 0.5000 0.0000 0.0000
Ti1 Ti 0.0000 0.0000 0.5000
Ni1 Ni 0.5000 0.5000 0.5000
H1 H 0.0000 0.0000 0.0000
```

---

[3]
A relaxed structure of ScZnNi2H. Source: the Alexandria database, functional PBE-GGA.

Computed properties:
Symmetry = No. 123
E = -23.79 eV/cell
Density of states at the Fermi level = 2.70 states/eV per cell
V = 11.69 Å³ per atom

CIF file:
```
data_ScZnNi2H
_space_group_name_H-M_alt 'P 1'
_space_group_IT_number 1
_space_group_name_Hall 'P 1'
_cell_length_a 3.8300
_cell_length_b 3.8300
_cell_length_c 3.9834
_cell_angle_alpha 90.00
_cell_angle_beta 90.00
_cell_angle_gamma 90.00
loop_
_atom_site_label
_atom_site_type_symbol
_atom_site_fract_x
_atom_site_fract_y
_atom_site_fract_z
Sc1 Sc 0.0000 0.0000 0.0000
Zn1 Zn 0.5000 0.5000 0.0000
Ni1 Ni 0.0000 0.5000 0.5000
Ni2 Ni 0.5000 0.0000 0.5000
H1 H 0.0000 0.0000 0.5000
```

---

[4]
A relaxed structure of ScZnNi2H. Source: the Alexandria database, functional PBE-GGA.

Computed properties:
Symmetry = No. 63
E = -48.37 eV/cell
Density of states at the Fermi level = 5.45 states/eV per cell
V = 12.06 Å³ per atom

CIF file:
```
data_ScZnNi2H
_space_group_name_H-M_alt 'P 1'
_space_group_IT_number 1
_space_group_name_Hall 'P 1'
_cell_length_a 5.6467
_cell_length_b 5.6467
_cell_length_c 7.1453
_cell_angle_alpha 90.00
_cell_angle_beta 90.00
_cell_angle_gamma 148.03
loop_
_atom_site_label
_atom_site_type_symbol
_atom_site_fract_x
_atom_site_fract_y
_atom_site_fract_z
Sc1 Sc 0.0217 0.9783 0.7500
Sc2 Sc 0.9783 0.0217 0.2500
Zn1 Zn 0.2527 0.7473 0.2500
Zn2 Zn 0.7473 0.2527 0.7500
Ni1 Ni 0.3559 0.6441 0.5490
Ni2 Ni 0.3559 0.6441 0.9510
Ni3 Ni 0.6441 0.3559 0.0490
Ni4 Ni 0.6441 0.3559 0.4510
H1 H 0.5000 0.5000 0.0000
H2 H 0.5000 0.5000 0.5000
```

---

[5]
A relaxed structure of ZrScNi2H. Source: the Alexandria database, functional PBE-GGA.

Computed properties:
Symmetry = No. 123
E = -30.60 eV/cell
Density of states at the Fermi level = 4.81 states/eV per cell
V = 13.79 Å³ per atom

CIF file:
```
data_ZrScNi2H
_space_group_name_H-M_alt 'P 1'
_space_group_IT_number 1
_space_group_name_Hall 'P 1'
_cell_length_a 4.3139
_cell_length_b 4.3139
_cell_length_c 3.7053
_cell_angle_alpha 90.00
_cell_angle_beta 90.00
_cell_angle_gamma 90.00
loop_
_atom_site_label
_atom_site_type_symbol
_atom_site_fract_x
_atom_site_fract_y
_atom_site_fract_z
Zr1 Zr 0.0000 0.0000 0.0000
Sc1 Sc 0.5000 0.5000 0.0000
Ni1 Ni 0.0000 0.5000 0.5000
Ni2 Ni 0.5000 0.0000 0.5000
H1 H 0.0000 0.0000 0.5000
```

---

[6]
A relaxed structure of Ni4H3Se4. Source: the Alexandria database, functional PBE-GGA.

Computed properties:
Symmetry = No. 38
E = -47.03 eV/cell
Density of states at the Fermi level = 10.00 states/eV per cell
V = 15.90 Å³ per atom

CIF file:
```
data_Ni4H3Se4
_space_group_name_H-M_alt 'P 1'
_space_group_IT_number 1
_space_group_name_Hall 'P 1'
_cell_length_a 7.5083
_cell_length_b 6.6105
_cell_length_c 6.6105
_cell_angle_alpha 32.21
_cell_angle_beta 90.00
_cell_angle_gamma 90.00
loop_
_atom_site_label
_atom_site_type_symbol
_atom_site_fract_x
_atom_site_fract_y
_atom_site_fract_z
Ni1 Ni 0.0000 0.0000 0.0000
Ni2 Ni 0.2427 0.4932 0.4932
Ni3 Ni 0.5000 0.0064 0.0064
Ni4 Ni 0.7573 0.4932 0.4932
H1 H 0.3771 0.6969 0.6969
H2 H 0.5000 0.7108 0.7108
H3 H 0.6229 0.6969 0.6969
Se1 Se 0.0000 0.3806 0.3806
Se2 Se 0.2533 0.1153 0.1153
Se3 Se 0.5000 0.3901 0.3901
Se4 Se 0.7467 0.1153 0.1153
```